# ScSiAg2 PBE relaxed
data_ScSiAg2
_cell_length_a 2.9961
_cell_length_b 2.9961
_cell_length_c 28.3513
_cell_angle_alpha 90.00
_cell_angle_beta 90.00
_cell_angle_gamma 120.00
_symmetry_space_group_name_H-M 'R -3 m'
_symmetry_Int_Tables_number 166
_symmetry_space_group_name_Hall '-R 3 2"'
loop_
_atom_site_label
_atom_site_type_symbol
_atom_site_fract_x
_atom_site_fract_y
_atom_site_fract_z
Sc1 Sc 0.0000 0.0000 0.0000
Si1 Si 0.0000 0.0000 0.5000
Ag1 Ag 0.0000 0.0000 0.2452
# ΔE_f (raw), meV per atom: 152
# Electronic total energy, eV/cell: -50.541
# Fermi-level density of states, states/eV/atom: 0.46

# Sc2SiAg PBE relaxed
data_Sc2SiAg
_cell_length_a 3.339
_cell_length_b 3.339
_cell_length_c 6.834
_cell_angle_alpha 90.00
_cell_angle_beta 90.00
_cell_angle_gamma 90.00
_symmetry_space_group_name_H-M 'P 4/m m m'
_symmetry_Int_Tables_number 123
_symmetry_space_group_name_Hall '-P 4 2'
loop_
_atom_site_label
_atom_site_type_symbol
_atom_site_fract_x
_atom_site_fract_y
_atom_site_fract_z
Sc1 Sc 0.000 0.000 0.236
Si1 Si 0.500 0.500 0.000
Ag1 Ag 0.500 0.500 0.500
# ΔE_f (raw), meV per atom: -427
# Electronic total energy, eV/cell: -22.645
# Fermi-level density of states, states/eV/atom: 0.76

# ScSi2Ag PBE relaxed
data_ScSi2Ag
_cell_length_a 2.998
_cell_length_b 4.163
_cell_length_c 5.550
_cell_angle_alpha 90.00
_cell_angle_beta 90.00
_cell_angle_gamma 90.00
_symmetry_space_group_name_H-M 'P m m m'
_symmetry_Int_Tables_number 47
_symmetry_space_group_name_Hall '-P 2 2'
loop_
_atom_site_label
_atom_site_type_symbol
_atom_site_fract_x
_atom_site_fract_y
_atom_site_fract_z
Sc1 Sc 0.000 0.000 0.000
Si1 Si 0.500 0.500 0.222
Ag1 Ag 0.500 0.000 0.500
# ΔE_f (raw), meV per atom: -262
# Electronic total energy, eV/cell: -21.077
# Fermi-level density of states, states/eV/atom: 0.60

# ScSi2Ag PBE relaxed
data_ScSi2Ag
_cell_length_a 4.285
_cell_length_b 4.285
_cell_length_c 17.296
_cell_angle_alpha 90.00
_cell_angle_beta 90.00
_cell_angle_gamma 90.00
_symmetry_space_group_name_H-M 'I -4 2 d'
_symmetry_Int_Tables_number 122
_symmetry_space_group_name_Hall 'I -4 2bw'
loop_
_atom_site_label
_atom_site_type_symbol
_atom_site_fract_x
_atom_site_fract_y
_atom_site_fract_z
Sc1 Sc 0.000 0.000 0.000
Si1 Si 0.178 0.250 0.625
Ag1 Ag 0.000 0.000 0.500
# ΔE_f (raw), meV per atom: 33
# Electronic total energy, eV/cell: -79.581
# Fermi-level density of states, states/eV/atom: 0.35

# ScSiAg PBE relaxed
data_ScSiAg
_cell_length_a 3.935
_cell_length_b 5.605
_cell_length_c 10.023
_cell_angle_alpha 90.00
_cell_angle_beta 90.00
_cell_angle_gamma 90.00
_symmetry_space_group_name_H-M 'I m m m'
_symmetry_Int_Tables_number 71
_symmetry_space_group_name_Hall '-I 2 2'
loop_
_atom_site_label
_atom_site_type_symbol
_atom_site_fract_x
_atom_site_fract_y
_atom_site_fract_z
Sc1 Sc 0.000 0.000 0.188
Si1 Si 0.000 0.500 0.122
Ag1 Ag 0.000 0.255 0.500
# ΔE_f (raw), meV per atom: -385
# Electronic total energy, eV/cell: -63.038
# Fermi-level density of states, states/eV/atom: 0.26

# ScSiAg2 PBE relaxed
data_ScSiAg2
_cell_length_a 4.056
_cell_length_b 3.975
_cell_length_c 4.471
_cell_angle_alpha 90.00
_cell_angle_beta 90.11
_cell_angle_gamma 90.00
_symmetry_space_group_name_H-M 'P 1 2/m 1'
_symmetry_Int_Tables_number 10
_symmetry_space_group_name_Hall '-P 2y'
loop_
_atom_site_label
_atom_site_type_symbol
_atom_site_fract_x
_atom_site_fract_y
_atom_site_fract_z
Sc1 Sc 0.000 0.000 0.000
Si1 Si 0.500 0.500 0.000
Ag1 Ag 0.000 0.500 0.500
Ag2 Ag 0.500 0.000 0.500
# ΔE_f (raw), meV per atom: -196
# Electronic total energy, eV/cell: -18.243
# Fermi-level density of states, states/eV/atom: 0.58

# Sc2SiAg PBE relaxed
data_Sc2SiAg
_cell_length_a 4.695
_cell_length_b 4.695
_cell_length_c 3.449
_cell_angle_alpha 90.00
_cell_angle_beta 90.00
_cell_angle_gamma 90.00
_symmetry_space_group_name_H-M 'P 4/m m m'
_symmetry_Int_Tables_number 123
_symmetry_space_group_name_Hall '-P 4 2'
loop_
_atom_site_label
_atom_site_type_symbol
_atom_site_fract_x
_atom_site_fract_y
_atom_site_fract_z
Sc1 Sc 0.000 0.500 0.000
Si1 Si 0.000 0.000 0.500
Ag1 Ag 0.500 0.500 0.500
# ΔE_f (raw), meV per atom: -442
# Electronic total energy, eV/cell: -22.704
# Fermi-level density of states, states/eV/atom: 0.77

# ScSiAg PBE relaxed
data_ScSiAg
_cell_length_a 4.136
_cell_length_b 4.874
_cell_length_c 6.144
_cell_angle_alpha 105.46
_cell_angle_beta 90.04
_cell_angle_gamma 115.00
_symmetry_space_group_name_H-M 'P -1'
_symmetry_Int_Tables_number 2
_symmetry_space_group_name_Hall '-P 1'
loop_
_atom_site_label
_atom_site_type_symbol
_atom_site_fract_x
_atom_site_fract_y
_atom_site_fract_z
Sc1 Sc 0.145 0.290 0.318
Si1 Si 0.500 0.000 0.000
Si2 Si 0.500 0.000 0.500
Ag1 Ag 0.180 0.360 0.832
# ΔE_f (raw), meV per atom: -310
# Electronic total energy, eV/cell: -31.073
# Fermi-level density of states, states/eV/atom: 0.33

# Sc2SiAg PBE relaxed
data_Sc2SiAg
_cell_length_a 3.3608
_cell_length_b 3.3608
_cell_length_c 25.1489
_cell_angle_alpha 90.00
_cell_angle_beta 90.00
_cell_angle_gamma 120.00
_symmetry_space_group_name_H-M 'R -3 m'
_symmetry_Int_Tables_number 166
_symmetry_space_group_name_Hall '-R 3 2"'
loop_
_atom_site_label
_atom_site_type_symbol
_atom_site_fract_x
_atom_site_fract_y
_atom_site_fract_z
Sc1 Sc 0.0000 0.0000 0.2417
Si1 Si 0.0000 0.0000 0.5000
Ag1 Ag 0.0000 0.0000 0.0000
# ΔE_f (raw), meV per atom: -230
# Electronic total energy, eV/cell: -65.577
# Fermi-level density of states, states/eV/atom: 0.67

# ScSiAg PBE relaxed
data_ScSiAg
_cell_length_a 3.055
_cell_length_b 3.055
_cell_length_c 11.457
_cell_angle_alpha 90.00
_cell_angle_beta 90.00
_cell_angle_gamma 90.00
_symmetry_space_group_name_H-M 'I 4 m m'
_symmetry_Int_Tables_number 107
_symmetry_space_group_name_Hall 'I 4 -2'
loop_
_atom_site_label
_atom_site_type_symbol
_atom_site_fract_x
_atom_site_fract_y
_atom_site_fract_z
Sc1 Sc 0.000 0.000 0.000
Si1 Si 0.000 0.000 0.345
Ag1 Ag 0.000 0.000 0.690
# ΔE_f (raw), meV per atom: -164
# Electronic total energy, eV/cell: -30.194
# Fermi-level density of states, states/eV/atom: 0.38

# ScSiAg2 PBE relaxed
data_ScSiAg2
_cell_length_a 3.116
_cell_length_b 4.973
_cell_length_c 4.748
_cell_angle_alpha 90.00
_cell_angle_beta 91.47
_cell_angle_gamma 90.00
_symmetry_space_group_name_H-M 'P 1 2/m 1'
_symmetry_Int_Tables_number 10
_symmetry_space_group_name_Hall '-P 2y'
loop_
_atom_site_label
_atom_site_type_symbol
_atom_site_fract_x
_atom_site_fract_y
_atom_site_fract_z
Sc1 Sc 0.000 0.000 0.000
Si1 Si 0.500 0.000 0.500
Ag1 Ag 0.282 0.500 0.747
# ΔE_f (raw), meV per atom: -146
# Electronic total energy, eV/cell: -18.041
# Fermi-level density of states, states/eV/atom: 0.43

# ScSi2Ag2 PBE relaxed
data_ScSi2Ag2
_cell_length_a 7.554
_cell_length_b 7.554
_cell_length_c 3.120
_cell_angle_alpha 90.00
_cell_angle_beta 90.00
_cell_angle_gamma 90.00
_symmetry_space_group_name_H-M 'P 4/m b m'
_symmetry_Int_Tables_number 127
_symmetry_space_group_name_Hall '-P 4 2ab'
loop_
_atom_site_label
_atom_site_type_symbol
_atom_site_fract_x
_atom_site_fract_y
_atom_site_fract_z
Sc1 Sc 0.000 0.000 0.000
Si1 Si 0.157 0.343 0.000
Ag1 Ag 0.141 0.641 0.500
# ΔE_f (raw), meV per atom: 58
# Electronic total energy, eV/cell: -45.182
# Fermi-level density of states, states/eV/atom: 0.51

Which value of electronic total energy does entry 1 give?
-50.541 eV/cell

The lowest Fermi-level density of states belongs to which entry?
number 5